[1]
## CsAs2PdSe (PBE)

Data for a geometry-optimized CsAs2PdSe structure.

Energy above the lowest structure with this stoichiometry ... 1770 meV/atom
Symmetry ... P4/mmm, No. 123

Cell: 5.820 5.820 5.551 Å, 90.00 90.00 90.00°
Site moments in Bohr magnetons follow the coordinates.
Fractional positions:
As  0.500  0.000  0.000  0.20
As  0.000  0.500  0.000  0.20
Cs  0.000  0.000  0.000  0.00
Pd  0.500  0.500  0.500  0.14
Se  0.000  0.000  0.500  0.06


[2]
## ZrCrCo2S (PBE)

Data for a geometry-optimized ZrCrCo2S structure.

Symmetry ... P4/mmm, No. 123

Cell: 4.112 4.202 4.112 Å, 90.00 90.00 90.00°
Fractional positions:
Cr  0.000  0.500  0.000
Co  0.000  0.000  0.500
S  0.000  0.000  0.000
Co  0.500  0.000  0.000
Zr  0.500  0.500  0.500


How do the records compare in formation energy from raw total energies? In the order shown, they have 9.21, -0.14 eV per formula unit.